This record from Alexandria describes crystalline CuH2CS at its relaxed geometry. The functional is PBE-GGA.

Output
Space-group type: P4/mmm
Total magnetic moment: 0.19 μB per atom
ρ: 3.8 Mg/m³
Total DFT energy (no corrections): -3.75 eV per atom

Cell and atoms, written as POSCAR:
```
CuH2CS
1.0
3.086 0.000 0.000
0.000 5.064 0.000
0.000 0.000 3.086
H S C Cu
2 1 1 1
Direct
0.000 0.000 0.500 H
0.500 0.000 0.000 H
0.000 0.000 0.000 S
0.500 0.500 0.500 C
0.000 0.500 0.000 Cu
```

---

This record from Alexandria describes crystalline CuTeH2C at its relaxed geometry. The functional is PBE-GGA.

Output
Space-group type: P4/mmm
Total magnetic moment: 0.23 μB per atom
ρ: 5.0 Mg/m³
Total DFT energy (no corrections): -3.13 eV per atom

Cell and atoms, written as POSCAR:
```
CuTeH2C
1.0
-0.269 -2.205 2.875
5.054 -1.075 -0.352
0.747 2.787 2.208
H C Te Cu
2 1 1 1
Direct
0.000 0.000 0.500 H
0.500 0.000 0.000 H
0.500 0.500 0.500 C
0.000 0.000 0.000 Te
0.000 0.500 0.000 Cu
```